Compound: Sc2AlSe
Source: Alexandria
Functional: PBE
Structure: relaxed

The magnetic moment is 0.0 μB per formula unit. Its crystal system is cubic. For the theoretical density, the calculation gives 4.00 g/cm3. The calculation puts the polymorph energy (0 for the lowest one) at 0.415 eV/atom. As for the uncorrected formation energy: -0.508 eV per atom.

It has space group Fm-3m (No. 225), with a = 6.877 Å, b = 6.877 Å, c = 6.877 Å, α = 90.00°, β = 90.00° and γ = 90.00°. The distinct sites, in fractional coordinates, are Sc at (0.250, 0.250, 0.250), Al at (0.000, 0.000, 0.000) and Se at (0.000, 0.000, 0.500).